## Na3CdP (GGA-PBE)

Data for crystalline Na3CdP at its relaxed geometry.

a b c (Å): 5.4603 5.4603 5.4603
angles (deg): 90.00 90.00 90.00
Last column: nearest neighbours and their distance in Å.
Space group Pm-3m (No. 221)
Unique sites:
Na 0.0000 0.0000 0.5000 (multiplicity 3)  2 P 2.73
Cd 0.5000 0.5000 0.5000 (multiplicity 1)  12 Na 3.86
P 0.0000 0.0000 0.0000 (multiplicity 1)  6 Na 2.73

Properties
Formation energy   -0.126 eV/atom
Total moment   0.00 μB per atom
Polymorph energy (0 for the lowest one)   0 meV per atom

---

## Na2Cd2P (GGA-PBE)

Data for crystalline Na2Cd2P at its relaxed geometry.

a b c (Å): 7.0294 7.0294 5.0376
angles (deg): 90.00 90.00 90.00
Last column: nearest neighbours and their distance in Å.
Space group P4/mbm (No. 127)
Unique sites:
Na 0.1747 0.3253 0.0000 (multiplicity 4)  6 Cd 3.12-3.36, 1 Na 3.47
Cd 0.1399 0.6399 0.5000 (multiplicity 4)  2 P 2.72, 1 Cd 2.78
P 0.0000 0.0000 0.5000 (multiplicity 2)  4 Cd 2.72

Properties
Formation energy   -0.057 eV/atom
Total moment   0.00 μB per atom

---

## Na2CdP2 (GGA-PBE)

Data for crystalline Na2CdP2 at its relaxed geometry.

a b c (Å): 6.7743 6.7743 4.6501
angles (deg): 90.00 90.00 90.00
Last column: nearest neighbours and their distance in Å.
Space group P4/mbm (No. 127)
Unique sites:
Na 0.1743 0.3257 0.0000 (multiplicity 4)  6 P 3.07, 1 Na 3.34, 4 Cd 3.42
Cd 0.0000 0.0000 0.5000 (multiplicity 2)  4 P 2.71
P 0.1171 0.6171 0.5000 (multiplicity 4)  1 P 2.24

Properties
Formation energy   -0.240 eV/atom
Total moment   0.00 μB per atom
Polymorph energy (0 for the lowest one)   0 meV per atom

---

## Na3CdP (GGA-PBE)

Data for crystalline Na3CdP at its relaxed geometry.

a b c (Å): 5.4579 5.4579 5.4579
angles (deg): 90.00 90.00 90.00
Last column: nearest neighbours and their distance in Å.
Space group Pm-3m (No. 221)
Unique sites:
Na 0.0000 0.0000 0.5000 (multiplicity 3)  2 Cd 2.73
Cd 0.0000 0.0000 0.0000 (multiplicity 1)  6 Na 2.73
P 0.5000 0.5000 0.5000 (multiplicity 1)  12 Na 3.86

Properties
Formation energy   0.481 eV/atom
Total moment   0.00 μB per atom
Polymorph energy (0 for the lowest one)   608 meV per atom

---

## Na5CdP2 (GGA-PBE)

Data for crystalline Na5CdP2 at its relaxed geometry.

a b c (Å): 5.0874 5.0874 17.8103
angles (deg): 90.00 90.00 120.00
Last column: nearest neighbours and their distance in Å.
Space group P6_3/mmc (No. 194)
Unique sites:
Na 0.0000 0.0000 0.1350 (multiplicity 4)  3 P 2.97, 3 Na 3.29
Na 0.3333 0.6667 0.0521 (multiplicity 4)  4 P 2.90-3.12
Na 0.3333 0.6667 0.2500 (multiplicity 2)  3 Cd 2.94
Cd 0.3333 0.6667 0.7500 (multiplicity 2)  2 P 2.48
P 0.3333 0.6667 0.6105 (multiplicity 4)  1 Cd 2.48

Properties
Formation energy   -0.241 eV/atom
Total moment   0.00 μB per atom

---

## Na3CdP2 (GGA-PBE)

Data for crystalline Na3CdP2 at its relaxed geometry.

a b c (Å): 6.7304 13.2916 7.0991
angles (deg): 90.00 90.00 90.00
Last column: nearest neighbours and their distance in Å.
Space group Ibam (No. 72)
Unique sites:
Na 0.0000 0.0000 0.2500 (multiplicity 4)  4 P 2.94
Na 0.0000 0.2594 0.2500 (multiplicity 8)  4 P 2.91-2.96
Cd 0.0000 0.5000 0.0000 (multiplicity 4)  2 P 2.45
P 0.2390 0.1282 0.0000 (multiplicity 8)  1 Cd 2.45

Properties
Formation energy   -0.175 eV/atom
Total moment   0.17 μB per atom
Polymorph energy (0 for the lowest one)   44 meV per atom

---

## NaCdPPt2 (GGA-PBE)

Data for crystalline NaCdPPt2 at its relaxed geometry.

a b c (Å): 4.7431 4.7431 4.6130
angles (deg): 90.00 90.00 90.00
Last column: nearest neighbours and their distance in Å.
Space group P4/mmm (No. 123)
Unique sites:
Na 0.0000 0.0000 0.0000 (multiplicity 1)  2 P 2.31, 4 Pt 2.37
Cd 0.5000 0.5000 0.5000 (multiplicity 1)  8 Pt 3.31, 4 P 3.35
P 0.0000 0.0000 0.5000 (multiplicity 1)  2 Na 2.31
Pt 0.0000 0.5000 0.0000 (multiplicity 2)  2 Na 2.37

Properties
Formation energy   1.183 eV/atom
Total moment   0.00 μB per atom

---

## Na2CdP3Pt12 (GGA-PBE)

Data for crystalline Na2CdP3Pt12 at its relaxed geometry.

a b c (Å): 8.7876 8.7876 13.4982
angles (deg): 90.00 90.00 120.00
Last column: nearest neighbours and their distance in Å.
Space group R-3m (No. 166, hexagonal axes)
Unique sites:
Na 0.0000 0.0000 0.0869 (multiplicity 6)  1 Na 2.35, 3 Pt 2.58
Cd 0.0000 0.0000 0.5000 (multiplicity 3)  6 Pt 2.72
P 0.0000 0.5000 0.0000 (multiplicity 9)  6 Pt 2.27-2.45
Pt 0.0243 0.5121 0.8324 (multiplicity 18)  1 P 2.27
Pt 0.0392 0.5196 0.3700 (multiplicity 18)  2 P 2.45

Properties
Formation energy   -0.175 eV/atom
Total moment   0.00 μB per atom

---

## Rb2NaCdP2 (GGA-PBE)

Data for crystalline Rb2NaCdP2 at its relaxed geometry.

a b c (Å): 6.7801 15.7821 6.6974
angles (deg): 90.00 90.00 90.00
Last column: nearest neighbours and their distance in Å.
Space group Ibam (No. 72)
Unique sites:
Rb 0.2414 0.1740 0.0000 (multiplicity 8)  5 P 3.48-3.74, 2 Na 3.61, 2 Cd 3.66
Na 0.0000 0.0000 0.2500 (multiplicity 4)  4 P 2.94
Cd 0.0000 0.5000 0.2500 (multiplicity 4)  4 P 2.70
P 0.2210 0.4049 0.0000 (multiplicity 8)  2 Cd 2.70, 2 Na 2.94

Properties
Formation energy   -0.252 eV/atom
Total moment   0.10 μB per atom

---

## NaCdPRh (GGA-PBE)

Data for crystalline NaCdPRh at its relaxed geometry.

a b c (Å): 3.9737 3.9737 10.9146
angles (deg): 90.00 90.00 90.00
Last column: nearest neighbours and their distance in Å.
Space group P4/nmm (No. 129, origin choice 2)
Unique sites:
Na 0.2500 0.2500 0.2425 (multiplicity 2)  4 P 3.12, 4 Rh 3.31, 4 Cd 3.44
Cd 0.2500 0.7500 0.5000 (multiplicity 2)  4 Cd 2.81
P 0.2500 0.2500 0.8816 (multiplicity 2)  4 Rh 2.37
Rh 0.2500 0.7500 0.0000 (multiplicity 2)  4 P 2.37

Properties
Formation energy   -0.420 eV/atom
Total moment   0.00 μB per atom

---

## NaCdPS4 (GGA-PBE)

Data for crystalline NaCdPS4 at its relaxed geometry.

a b c (Å): 7.5683 11.7562 7.5305
angles (deg): 90.00 90.00 90.00
Last column: nearest neighbours and their distance in Å.
Space group Cmcm (No. 63)
Unique sites:
Na 0.0000 0.0000 0.0000 (multiplicity 4)  6 S 2.89-2.91
Cd 0.0000 0.3629 0.2500 (multiplicity 4)  4 S 2.56-2.61
P 0.0000 0.3557 0.7500 (multiplicity 4)  4 S 2.05-2.07
S 0.0000 0.2467 0.5370 (multiplicity 8)  1 P 2.05
S 0.2162 0.4641 0.7500 (multiplicity 8)  1 P 2.07

Properties
Raw formation energy   -0.5504 eV per atom
Total moment   0.00 μB per atom

---

## NaCdPS2 (GGA-PBE)

Data for crystalline NaCdPS2 at its relaxed geometry.

a b c (Å): 5.1486 5.1486 4.9937
angles (deg): 90.00 90.00 90.00
Last column: nearest neighbours and their distance in Å.
Space group P4/mmm (No. 123)
Unique sites:
Na 0.0000 0.0000 0.0000 (multiplicity 1)  8 S 3.59, 4 P 3.64
Cd 0.5000 0.5000 0.5000 (multiplicity 1)  2 P 2.50, 4 S 2.57
P 0.5000 0.5000 0.0000 (multiplicity 1)  2 Cd 2.50
S 0.0000 0.5000 0.5000 (multiplicity 2)  2 Cd 2.57

Properties
Raw formation energy   0.4100 eV per atom
Total moment   0.27 μB per atom
Polymorph energy (0 for the lowest one)   0 meV per atom

---

## NaCdPS2 (GGA-PBE)

Data for crystalline NaCdPS2 at its relaxed geometry.

a b c (Å): 4.9209 4.9209 4.8562
angles (deg): 90.00 90.00 90.00
Last column: nearest neighbours and their distance in Å.
Space group P4/mmm (No. 123)
Unique sites:
Na 0.0000 0.0000 0.0000 (multiplicity 1)  2 P 2.43, 4 S 2.46
Cd 0.5000 0.5000 0.5000 (multiplicity 1)  8 S 3.46, 4 P 3.48
P 0.0000 0.0000 0.5000 (multiplicity 1)  2 Na 2.43
S 0.0000 0.5000 0.0000 (multiplicity 2)  2 Na 2.46

Properties
Raw formation energy   0.9191 eV per atom
Total moment   0.00 μB per atom
Polymorph energy (0 for the lowest one)   509 meV per atom

---

## NaCdSi2P (GGA-PBE)

Data for crystalline NaCdSi2P at its relaxed geometry.

a b c (Å): 4.9741 4.9741 5.0437
angles (deg): 90.00 90.00 90.00
Last column: nearest neighbours and their distance in Å.
Space group P4/mmm (No. 123)
Unique sites:
Na 0.0000 0.0000 0.0000 (multiplicity 1)  4 Si 2.49, 2 Cd 2.52
Cd 0.0000 0.0000 0.5000 (multiplicity 1)  2 Na 2.52
Si 0.0000 0.5000 0.0000 (multiplicity 2)  2 Na 2.49
P 0.5000 0.5000 0.5000 (multiplicity 1)  4 Cd 3.52, 8 Si 3.54

Properties
Raw formation energy   1.5092 eV per atom
Total moment   0.00 μB per atom
Polymorph energy (0 for the lowest one)   557 meV per atom

---

## NaCdSi2P (GGA-PBE)

Data for crystalline NaCdSi2P at its relaxed geometry.

a b c (Å): 5.1065 5.1065 5.1517
angles (deg): 90.00 90.00 90.00
Last column: nearest neighbours and their distance in Å.
Space group P4/mmm (No. 123)
Unique sites:
Na 0.0000 0.0000 0.0000 (multiplicity 1)  4 P 3.61, 8 Si 3.63
Cd 0.5000 0.5000 0.5000 (multiplicity 1)  4 Si 2.55, 2 P 2.58
Si 0.0000 0.5000 0.5000 (multiplicity 2)  2 Cd 2.55
P 0.5000 0.5000 0.0000 (multiplicity 1)  2 Cd 2.58

Properties
Raw formation energy   0.9523 eV per atom
Total moment   0.00 μB per atom
Polymorph energy (0 for the lowest one)   0 meV per atom

---

## NaCdSnP2 (GGA-PBE)

Data for crystalline NaCdSnP2 at its relaxed geometry.

a b c (Å): 4.9822 4.9822 5.1356
angles (deg): 90.00 90.00 90.00
Last column: nearest neighbours and their distance in Å.
Space group P4/mmm (No. 123)
Unique sites:
Na 0.0000 0.0000 0.0000 (multiplicity 1)  4 P 2.49, 2 Cd 2.57
Cd 0.0000 0.0000 0.5000 (multiplicity 1)  2 Na 2.57
Sn 0.5000 0.5000 0.5000 (multiplicity 1)  4 Cd 3.52, 8 P 3.58
P 0.0000 0.5000 0.0000 (multiplicity 2)  2 Na 2.49

Properties
Formation energy   0.905 eV/atom
Total moment   0.00 μB per atom

---

## Na2CdSnP (GGA-PBE)

Data for crystalline Na2CdSnP at its relaxed geometry.

a b c (Å): 5.3513 5.3513 5.0091
angles (deg): 90.00 90.00 90.00
Last column: nearest neighbours and their distance in Å.
Space group P4/mmm (No. 123)
Unique sites:
Na 0.0000 0.5000 0.0000 (multiplicity 2)  2 P 2.68
Cd 0.0000 0.0000 0.5000 (multiplicity 1)  2 P 2.50
Sn 0.5000 0.5000 0.5000 (multiplicity 1)  8 Na 3.66, 4 Cd 3.78
P 0.0000 0.0000 0.0000 (multiplicity 1)  2 Cd 2.50, 4 Na 2.68

Properties
Formation energy   0.108 eV/atom
Total moment   0.00 μB per atom

---

## NaTi2CdP (GGA-PBE)

Data for crystalline NaTi2CdP at its relaxed geometry.

a b c (Å): 4.7744 4.7744 4.7539
angles (deg): 90.00 90.00 90.00
Last column: nearest neighbours and their distance in Å.
Space group P4/mmm (No. 123)
Unique sites:
Na 0.0000 0.0000 0.0000 (multiplicity 1)  2 Cd 2.38, 4 Ti 2.39
Ti 0.0000 0.5000 0.0000 (multiplicity 2)  2 Na 2.39
Cd 0.0000 0.0000 0.5000 (multiplicity 1)  2 Na 2.38
P 0.5000 0.5000 0.5000 (multiplicity 1)  8 Ti 3.37, 4 Cd 3.38

Properties
Formation energy   1.489 eV/atom
Total moment   0.00 μB per atom

---

## NaTiCd2P (GGA-PBE)

Data for crystalline NaTiCd2P at its relaxed geometry.

a b c (Å): 5.1755 5.1755 4.6646
angles (deg): 90.00 90.00 90.00
Last column: nearest neighbours and their distance in Å.
Space group P4/mmm (No. 123)
Unique sites:
Na 0.0000 0.0000 0.0000 (multiplicity 1)  8 Cd 3.48, 4 Ti 3.66
Ti 0.5000 0.5000 0.0000 (multiplicity 1)  2 P 2.33
Cd 0.0000 0.5000 0.5000 (multiplicity 2)  2 P 2.59
P 0.5000 0.5000 0.5000 (multiplicity 1)  2 Ti 2.33, 4 Cd 2.59

Properties
Formation energy   0.187 eV/atom
Total moment   0.16 μB per atom

---

## NaVCd2P (GGA-PBE)

Data for crystalline NaVCd2P at its relaxed geometry.

a b c (Å): 5.0778 5.0778 5.0910
angles (deg): 90.00 90.00 90.00
Last column: nearest neighbours and their distance in Å.
Space group P4/mmm (No. 123)
Unique sites:
Na 0.0000 0.0000 0.0000 (multiplicity 1)  2 P 2.55
V 0.5000 0.5000 0.0000 (multiplicity 1)  4 Na 3.59, 8 Cd 3.60
Cd 0.0000 0.5000 0.5000 (multiplicity 2)  2 P 2.54
P 0.0000 0.0000 0.5000 (multiplicity 1)  4 Cd 2.54, 2 Na 2.55

Properties
Formation energy   0.989 eV/atom
Total moment   0.07 μB per atom

---

## Na2ZnCdP (GGA-PBE)

Data for crystalline Na2ZnCdP at its relaxed geometry.

a b c (Å): 5.4743 5.4743 5.1161
angles (deg): 90.00 90.00 90.00
Last column: nearest neighbours and their distance in Å.
Space group P4/mmm (No. 123)
Unique sites:
Na 0.0000 0.5000 0.0000 (multiplicity 2)  2 P 2.74
Zn 0.0000 0.0000 0.5000 (multiplicity 1)  8 Na 3.75, 4 Cd 3.87
Cd 0.5000 0.5000 0.5000 (multiplicity 1)  2 P 2.56
P 0.5000 0.5000 0.0000 (multiplicity 1)  2 Cd 2.56, 4 Na 2.74

Properties
Formation energy   0.030 eV/atom
Total moment   0.00 μB per atom

---

## NaPaCd2 (GGA-PBE)

Data for crystalline NaPaCd2 at its relaxed geometry.

a b c (Å): 3.1344 3.1344 9.9231
angles (deg): 90.00 90.00 90.00
Last column: nearest neighbours and their distance in Å.
Space group P4/mmm (No. 123)
Unique sites:
Na 0.0000 0.0000 0.0000 (multiplicity 1)  4 Na 3.13, 8 Cd 3.32
Pa 0.0000 0.0000 0.5000 (multiplicity 1)  4 Pa 3.13, 8 Cd 3.33
Cd 0.5000 0.5000 0.2498 (multiplicity 2)  4 Cd 3.13, 4 Na 3.32, 4 Pa 3.33

Properties
Formation energy   0.071 eV/atom
Total moment   0.25 μB per atom
Polymorph energy (0 for the lowest one)   0 meV per atom

---

## NaPaCd4 (GGA-PBE)

Data for crystalline NaPaCd4 at its relaxed geometry.

a b c (Å): 8.3710 8.3710 8.3710
angles (deg): 90.00 90.00 90.00
Last column: nearest neighbours and their distance in Å.
Space group F-43m (No. 216)
Unique sites:
Na 0.0000 0.0000 0.0000 (multiplicity 4)  12 Cd 3.47, 4 Pa 3.62
Pa 0.2500 0.2500 0.7500 (multiplicity 4)  12 Cd 3.47, 4 Na 3.62
Cd 0.1247 0.1247 0.3753 (multiplicity 16)  6 Cd 2.95-2.97

Properties
Formation energy   0.191 eV/atom
Total moment   0.19 μB per atom

---

## NaPaCd2 (GGA-PBE)

Data for crystalline NaPaCd2 at its relaxed geometry.

a b c (Å): 3.1133 3.1133 36.5514
angles (deg): 90.00 90.00 120.00
Last column: nearest neighbours and their distance in Å.
Space group R-3m (No. 166, hexagonal axes)
Unique sites:
Na 0.0000 0.0000 0.0000 (multiplicity 3)  6 Na 3.11, 6 Cd 3.34
Pa 0.0000 0.0000 0.5000 (multiplicity 3)  6 Pa 3.11, 2 Cd 3.28
Cd 0.0000 0.0000 0.4103 (multiplicity 6)  6 Cd 3.11, 1 Pa 3.28, 3 Na 3.34

Properties
Formation energy   0.254 eV/atom
Total moment   0.12 μB per atom
Polymorph energy (0 for the lowest one)   183 meV per atom

---

## NaPaCd2 (GGA-PBE)

Data for crystalline NaPaCd2 at its relaxed geometry.

a b c (Å): 5.7860 5.7860 3.0341
angles (deg): 90.00 90.00 90.00
Last column: nearest neighbours and their distance in Å.
Space group P4/mmm (No. 123)
Unique sites:
Na 0.0000 0.0000 0.0000 (multiplicity 1)  2 Na 3.03, 8 Cd 3.27
Pa 0.5000 0.5000 0.0000 (multiplicity 1)  2 Pa 3.03, 8 Cd 3.27
Cd 0.0000 0.5000 0.5000 (multiplicity 2)  2 Cd 3.03, 4 Na 3.27, 4 Pa 3.27

Properties
Formation energy   0.145 eV/atom
Total moment   0.26 μB per atom
Polymorph energy (0 for the lowest one)   74 meV per atom

---

Summary of density of states at the Fermi level in states/eV per cell
0.000; 2.774; 1.026; 0.736; 5.871; 15.361; 3.260; 20.018; 20.415; 1.906; 0.000; 4.545; 4.685; 3.496; 3.156; 2.825; 3.343; 3.306; 4.365; 7.131; 1.702; 5.425; 38.637; 12.580; 6.296
(order as listed above)